1.
ScRu3Br | PBE | relaxed

Cell lengths 4.547, 4.547, 4.547 Å; angles 90.00, 90.00, 90.00 degrees
Element x y z (fractional)
Sc 0.000 0.000 0.000
Ru 0.000 0.500 0.500
Ru 0.500 0.000 0.500
Ru 0.500 0.500 0.000
Br 0.500 0.500 0.500

Calculated values
Crystal system   cubic
Symmetry   Pm-3m
E above lowest polymorph   0.000 eV per atom

2.
Sc2RuBr | PBE | relaxed

Cell lengths 9.306, 9.306, 9.306 Å; angles 20.09, 20.09, 20.09 degrees
Element x y z (fractional)
Sc 0.085 0.085 0.085
Sc 0.915 0.915 0.915
Ru 0.000 0.000 0.000
Br 0.500 0.500 0.500

Calculated values
Crystal system   trigonal
Symmetry   R-3m
E above lowest polymorph   0.762 eV per atom

3.
Sc4RuBr | PBE | relaxed

Cell lengths 5.716, 5.716, 5.716 Å; angles 60.00, 60.00, 60.00 degrees
Element x y z (fractional)
Sc 0.378 0.378 0.378
Sc 0.378 0.378 0.867
Sc 0.378 0.867 0.378
Sc 0.867 0.378 0.378
Ru 0.750 0.750 0.750
Br 0.000 0.000 0.000

Calculated values
Crystal system   cubic
Symmetry   F-43m

4.
Sc2RuBr | PBE | relaxed

Cell lengths 5.454, 5.454, 4.460 Å; angles 90.26, 90.26, 35.27 degrees
Element x y z (fractional)
Sc 0.000 0.000 0.000
Sc 0.709 0.709 0.502
Ru 0.468 0.468 0.501
Br 0.269 0.269 0.003

Calculated values
Crystal system   monoclinic
Symmetry   Cm
E above lowest polymorph   0.307 eV per atom

5.
Sc2RuBr | PBE | relaxed

Cell lengths 5.876, 5.876, 5.876 Å; angles 142.30, 142.30, 54.37 degrees
Element x y z (fractional)
Sc 0.000 0.000 0.000
Sc 0.750 0.250 0.500
Ru 0.500 0.500 0.000
Br 0.250 0.750 0.500

Calculated values
Crystal system   tetragonal
Symmetry   I-4m2
E above lowest polymorph   0.570 eV per atom

6.
ScRuBr | PBE | relaxed

Cell lengths 3.289, 3.289, 6.597 Å; angles 90.00, 90.00, 120.00 degrees
Element x y z (fractional)
Sc 0.000 0.000 0.000
Ru 0.333 0.667 0.722
Br 0.667 0.333 0.301

Calculated values
Crystal system   trigonal
Symmetry   P3m1
E above lowest polymorph   0.000 eV per atom

7.
Sc2RuBr | PBE | relaxed

Cell lengths 4.761, 4.761, 4.761 Å; angles 60.00, 60.00, 60.00 degrees
Element x y z (fractional)
Sc 0.250 0.250 0.250
Sc 0.750 0.750 0.750
Ru 0.000 0.000 0.000
Br 0.500 0.500 0.500

Calculated values
Crystal system   cubic
Symmetry   Fm-3m
E above lowest polymorph   0.573 eV per atom

8.
ScRu3Br | PBE | relaxed

Cell lengths 4.800, 4.800, 4.800 Å; angles 90.00, 90.00, 90.00 degrees
Element x y z (fractional)
Sc 0.000 0.000 0.000
Ru 0.000 0.000 0.500
Ru 0.000 0.500 0.000
Ru 0.500 0.000 0.000
Br 0.500 0.500 0.500

Calculated values
Crystal system   cubic
Symmetry   Pm-3m
E above lowest polymorph   0.739 eV per atom

9.
ScRuBr | PBE | relaxed

Cell lengths 7.196, 6.920, 3.173 Å; angles 81.92, 72.19, 25.89 degrees
Element x y z (fractional)
Sc 0.000 0.000 0.000
Ru 0.362 0.362 0.638
Br 0.654 0.654 0.346

Calculated values
Crystal system   orthorhombic
Symmetry   Fmm2
E above lowest polymorph   0.133 eV per atom

10.
Sc19Ru4Br28 | PBE | relaxed

Cell lengths 11.235, 11.235, 11.235 Å; angles 88.75, 88.75, 88.75 degrees
Element x y z (fractional)
Sc 0.006 0.218 0.776
Sc 0.006 0.776 0.218
Sc 0.009 0.009 0.570
Sc 0.009 0.570 0.009
Sc 0.026 0.026 0.026
Sc 0.032 0.760 0.760
Sc 0.218 0.006 0.776
Sc 0.218 0.776 0.006
Sc 0.267 0.267 0.506
Sc 0.267 0.506 0.267
Sc 0.506 0.267 0.267
Sc 0.570 0.009 0.009
Sc 0.573 0.782 0.782
Sc 0.760 0.032 0.760
Sc 0.760 0.760 0.032
Sc 0.776 0.006 0.218
Sc 0.776 0.218 0.006
Sc 0.782 0.573 0.782
Sc 0.782 0.782 0.573
Ru 0.795 0.993 0.993
Ru 0.800 0.800 0.800
Ru 0.993 0.795 0.993
Ru 0.993 0.993 0.795
Br 0.017 0.017 0.283
Br 0.017 0.283 0.017
Br 0.019 0.255 0.527
Br 0.019 0.527 0.255
Br 0.025 0.501 0.773
Br 0.025 0.773 0.501
Br 0.252 0.252 0.755
Br 0.252 0.755 0.252
Br 0.255 0.019 0.527
Br 0.255 0.503 0.503
Br 0.255 0.527 0.019
Br 0.261 0.261 0.261
Br 0.283 0.017 0.017
Br 0.293 0.768 0.768
Br 0.501 0.025 0.773
Br 0.501 0.773 0.025
Br 0.503 0.255 0.503
Br 0.503 0.503 0.255
Br 0.527 0.019 0.255
Br 0.527 0.255 0.019
Br 0.546 0.546 0.789
Br 0.546 0.789 0.546
Br 0.755 0.252 0.252
Br 0.768 0.293 0.768
Br 0.768 0.768 0.293
Br 0.773 0.025 0.501
Br 0.773 0.501 0.025
Br 0.789 0.546 0.546

Calculated values
Crystal system   trigonal
Symmetry   R3m

11.
ScSiRuBr2 | PBE | relaxed

Cell lengths 5.120, 5.120, 5.071 Å; angles 90.00, 90.00, 90.00 degrees
Element x y z (fractional)
Sc 0.000 0.000 0.000
Si 0.500 0.500 0.500
Ru 0.000 0.000 0.500
Br 0.000 0.500 0.000
Br 0.500 0.000 0.000

Calculated values
Crystal system   tetragonal
Symmetry   P4/mmm

12.
Sc2TcRuBr | PBE | relaxed

Cell lengths 4.866, 4.866, 4.511 Å; angles 90.00, 90.00, 90.00 degrees
Element x y z (fractional)
Sc 0.000 0.500 0.000
Sc 0.500 0.000 0.000
Tc 0.000 0.000 0.500
Ru 0.500 0.500 0.500
Br 0.500 0.500 0.000

Calculated values
Crystal system   tetragonal
Symmetry   P4/mmm

13.
Sc2RuWBr | PBE | relaxed

Cell lengths 5.180, 5.180, 4.675 Å; angles 90.00, 90.00, 90.00 degrees
Element x y z (fractional)
Sc 0.000 0.500 0.000
Sc 0.500 0.000 0.000
Ru 0.000 0.000 0.500
W 0.500 0.500 0.000
Br 0.500 0.500 0.500

Calculated values
Crystal system   tetragonal
Symmetry   P4/mmm

14.
YScRuBr2 | PBE | relaxed

Cell lengths 5.069, 5.069, 4.941 Å; angles 90.00, 90.00, 90.00 degrees
Element x y z (fractional)
Y 0.000 0.000 0.000
Sc 0.500 0.500 0.500
Ru 0.500 0.500 0.000
Br 0.000 0.500 0.500
Br 0.500 0.000 0.500

Calculated values
Crystal system   tetragonal
Symmetry   P4/mmm

| no. | density of states at the Fermi level (states/eV/cell) | E_form (uncorrected) (eV/atom) | M_tot (μB/cell) |
| --- | --- | --- | --- |
| 1 | 6.54 | 0.9548 | 1.0 |
| 2 | 3.51 | -0.0391 | 0.8 |
| 3 | 9.58 | 0.5352 | 0.0 |
| 4 | 2.31 | -0.4938 | 0.0 |
| 5 | 3.01 | -0.2312 | 0.0 |
| 6 | 3.59 | -0.2603 | 0.0 |
| 7 | 5.14 | -0.2281 | 0.0 |
| 8 | 6.17 | 1.6937 | 5.4 |
| 9 | 2.70 | -0.1277 | 0.6 |
| 10 | 38.25 | -1.4013 | 1.2 |
| 11 | 2.17 | 0.5547 | 1.1 |
| 12 | 4.70 | 0.7567 | 2.2 |
| 13 | 5.54 | 1.2710 | 2.1 |
| 14 | 5.68 | -0.1087 | 0.0 |